The following is a DFT calculation (GGA+U) of crystalline MnBiOs2F at its relaxed geometry.

CIF file:
```
data_MnBiOs2F
_cell_length_a 4.310
_cell_length_b 4.310
_cell_length_c 4.803
_cell_angle_alpha 90.00
_cell_angle_beta 90.00
_cell_angle_gamma 90.00
_space_group_name_H-M_alt 'P 4/m m m'
_space_group_IT_number 123
_space_group_name_Hall '-P 4 2'
loop_
_atom_site_label
_atom_site_type_symbol
_atom_site_fract_x
_atom_site_fract_y
_atom_site_fract_z
_atom_site_occupancy
Mn1 Mn 0.000 0.000 0.000 1
Bi1 Bi 0.500 0.500 0.000 1
Os1 Os 0.000 0.500 0.500 1
F1 F 0.500 0.500 0.500 1
```

## Properties
calculated total energy = -0.435 Ry per atom
D(E_F) = 0.910 states/eV per atom
spin magnetization = 3.688 μB per cell